Material: CsPrGeI6
Method: DFT, PBE
State: relaxed

The space group is P312 (No. 149) and the conventional cell measures 8.0331, 8.0331 and 8.6029 Å, with angles of 90.00, 90.00 and 120.00 degrees. The asymmetric unit holds Cs at (0.0000, 0.0000, 0.0000), Pr at (0.6667, 0.3333, 0.5000), Ge at (0.3333, 0.6667, 0.5000) and I at (0.0113, 0.3805, 0.7081).



Material: CsPrGe2I8
Method: DFT, PBE
State: relaxed

The space group is P-1 (No. 2) and the conventional cell measures 7.2962, 7.8697 and 11.1291 Å, with angles of 94.55, 90.71 and 95.99 degrees. The asymmetric unit holds Cs at (0.0000, 0.0000, 0.0000), Pr at (0.0000, 0.0000, 0.5000), Ge at (0.4365, 0.5420, 0.2982), I at (0.2371, 0.6777, 0.4900), I at (0.2445, 0.1679, 0.3043), I at (0.2457, 0.6014, 0.1025) and I at (0.2668, 0.1615, 0.7149).



Material: Cs2GePtI
Method: DFT, PBE
State: relaxed

The space group is P4/mmm (No. 123) and the conventional cell measures 6.9256, 6.9256 and 4.6954 Å, with angles of 90.00, 90.00 and 90.00 degrees. The asymmetric unit holds Cs at (0.0000, 0.5000, 0.0000), Ge at (0.0000, 0.0000, 0.5000), Pt at (0.0000, 0.0000, 0.0000) and I at (0.5000, 0.5000, 0.5000).



Material: Cs2GePtI6
Method: DFT, PBE
State: relaxed

The space group is I4/mmm (No. 139) and the conventional cell measures 8.2178, 8.2178 and 11.6594 Å, with angles of 90.00, 90.00 and 90.00 degrees. The asymmetric unit holds Cs at (0.0000, 0.5000, 0.2500), Ge at (0.0000, 0.0000, 0.0000), Pt at (0.0000, 0.0000, 0.5000), I at (0.0000, 0.0000, 0.2570) and I at (0.2422, 0.2422, 0.5000).



Material: Cs2PuGeI6
Method: DFT, PBE
State: relaxed

The space group is Pmmn (No. 59, origin choice 2) and the conventional cell measures 8.7622, 12.3807 and 8.7660 Å, with angles of 90.00, 90.00 and 90.00 degrees. The asymmetric unit holds Cs at (0.2500, 0.9997, 0.2491), Pu at (0.2500, 0.2500, 0.7492), Ge at (0.2500, 0.7500, 0.7502), I at (0.0037, 0.7500, 0.5058), I at (0.0051, 0.7500, 0.9974) and I at (0.2500, 0.5044, 0.7496).



Material: Cs3Rb3GeI8
Method: DFT, PBE
State: relaxed

The space group is R-3m (No. 166, hexagonal axes) and the conventional cell measures 10.5583, 10.5583 and 26.6426 Å, with angles of 90.00, 90.00 and 120.00 degrees. The asymmetric unit holds Cs at (0.0000, 0.5000, 0.0000), Rb at (0.0000, 0.5000, 0.5000), Ge at (0.0000, 0.0000, 0.5000), I at (0.0000, 0.0000, 0.2452) and I at (0.0547, 0.5273, 0.2330).



no.,mass density (g/cm³),ΔE_f (raw) (meV per atom)
1,3.8,-1091
2,3.8,-833
3,4.9,-609
4,5.5,-694
5,4.7,-1014
6,3.4,-1275